1.
Pu3HgAu2: optimized geometry, PBE-GGA.

The structure belongs to space group P4/mmm (No. 123); the cell edges are 3.390, 3.390 and 12.705 Å and the angles 90.00°, 90.00° and 90.00°. The asymmetric unit holds Pu at (0.000, 0.000, 0.000), Pu at (0.000, 0.000, 0.321), Hg at (0.500, 0.500, 0.500) and Au at (0.500, 0.500, 0.162).

Its crystal system is tetragonal. The value obtained for the density of states at the Fermi level is 22.317 states/eV/cell. The energy is -8.6135 eV/atom. The calculation puts the formation energy at -29.41 kJ per mole of atoms.

2.
La2Nd5Y4: optimized geometry, PBE-GGA.

The structure belongs to space group Immm (No. 71); the cell edges are 3.570, 9.288 and 23.850 Å and the angles 90.00°, 90.00° and 90.00°. The asymmetric unit holds La at (0.000, 0.000, 0.234), Nd at (0.000, 0.194, 0.358), Nd at (0.000, 0.500, 0.000), Y at (0.000, 0.000, 0.098) and Y at (0.000, 0.315, 0.500).

Its crystal system is orthorhombic. The value obtained for the density of states at the Fermi level is 33.062 states/eV/cell. The energy is -5.2377 eV/atom. The calculation puts the formation energy at 16.98 kJ per mole of atoms. The value obtained for the energy above the most stable polymorph in this dataset is 114 meV per atom.

3.
ThAlNi2: optimized geometry, PBE-GGA.

The structure belongs to space group C2/m (No. 12); the cell edges are 7.291, 4.221 and 5.189 Å and the angles 90.00°, 117.62° and 90.00°. The asymmetric unit holds Th at (0.000, 0.000, 0.000), Al at (0.000, 0.500, 0.500) and Ni at (0.205, 0.000, 0.617).

Its crystal system is monoclinic. The value obtained for the density of states at the Fermi level is 5.918 states/eV/cell. The energy is -6.2742 eV/atom. The calculation puts the formation energy at -57.21 kJ per mole of atoms.

4.
Y8Zn2Ni: optimized geometry, PBE-GGA.

The structure belongs to space group C2/m (No. 12); the cell edges are 17.566, 5.119 and 6.728 Å and the angles 90.00°, 104.38° and 90.00°. The asymmetric unit holds Y at (0.027, 0.000, 0.283), Y at (0.089, 0.500, 0.940), Y at (0.157, 0.500, 0.467), Y at (0.203, 0.000, 0.820), Zn at (0.190, 0.000, 0.235) and Ni at (0.000, 0.500, 0.500).

Its crystal system is monoclinic. The value obtained for the density of states at the Fermi level is 21.378 states/eV/cell. The energy is -5.6199 eV/atom. The calculation puts the formation energy at -15.58 kJ per mole of atoms.

5.
Na3Si5Ir6: optimized geometry, PBE-GGA.

The structure belongs to space group Pmmn (No. 59, origin choice 2); the cell edges are 3.924, 12.430 and 9.691 Å and the angles 90.00°, 90.00° and 90.00°. The asymmetric unit holds Na at (0.250, 0.103, 0.243), Na at (0.250, 0.750, 0.262), Si at (0.250, 0.072, 0.847), Si at (0.250, 0.627, 0.517), Si at (0.250, 0.750, 0.904), Ir at (0.250, 0.053, 0.601), Ir at (0.250, 0.250, 0.488), Ir at (0.250, 0.250, 0.963) and Ir at (0.250, 0.580, 0.013).

Its crystal system is orthorhombic. The value obtained for the density of states at the Fermi level is 10.861 states/eV/cell. The energy is -6.4679 eV/atom. The calculation puts the energy relative to the elements, uncorrected at -0.45 eV/atom.

6.
ScTc2P: optimized geometry, PBE-GGA.

The structure belongs to space group P4/mmm (No. 123); the cell edges are 3.719, 3.719 and 4.395 Å and the angles 90.00°, 90.00° and 90.00°. The asymmetric unit holds Sc at (0.000, 0.000, 0.000), Tc at (0.000, 0.500, 0.500) and P at (0.500, 0.500, 0.000).

Its crystal system is tetragonal. The value obtained for the density of states at the Fermi level is 3.534 states/eV/cell. The energy is -8.3339 eV/atom. The calculation puts the formation energy at -20.80 kJ per mole of atoms.

7.
In9Ga2Hg3: optimized geometry, PBE-GGA.

The structure belongs to space group C2/m (No. 12); the cell edges are 11.349, 11.021 and 6.034 Å and the angles 90.00°, 96.71° and 90.00°. The asymmetric unit holds In at (0.000, 0.000, 0.000), In at (0.133, 0.246, 0.138), In at (0.134, 0.360, 0.634), Ga at (0.000, 0.125, 0.500), Hg at (0.000, 0.500, 0.000) and Hg at (0.223, 0.000, 0.726).

Its crystal system is monoclinic. The value obtained for the density of states at the Fermi level is 11.962 states/eV/cell. The energy is -2.1982 eV/atom. The calculation puts the formation energy at 5.72 kJ per mole of atoms.

8.
CuNi2Br: optimized geometry, PBE-GGA.

The structure belongs to space group Pm (No. 6); the cell edges are 3.164, 3.007 and 6.546 Å and the angles 90.00°, 90.02° and 90.00°. The asymmetric unit holds Cu at (0.000, 0.000, 0.000), Ni at (0.000, 0.000, 0.627), Ni at (0.500, 0.500, 0.800) and Br at (0.998, 0.500, 0.329).

Its crystal system is monoclinic. The value obtained for the density of states at the Fermi level is 4.625 states/eV/cell. The energy is -4.0132 eV/atom. The calculation puts the energy relative to the elements, uncorrected at 0.32 eV/atom. The value obtained for the energy above the most stable polymorph in this dataset is 0 meV per atom.